A geometry-optimized NaErTh structure, computed with GGA-PBE.

Calculated values
ΔE to the lowest computed polymorph	0.0	meV/atom
energy	-12.79	eV for the cell shown
calculated formation energy	170	meV per atom

Cell lengths 3.511, 3.511, 9.254 Å; angles 90.00, 90.00, 120.00 degrees
Positions (direct):
Na (0.000, 0.000, 0.000)
Er (0.333, 0.667, 0.657)
Th (0.667, 0.333, 0.357)

---

A geometry-optimized Pm8Te4As3Se structure, computed with GGA-PBE.

Calculated values
energy	-93.17	eV for the cell shown
formation energy from raw total energies	-25.2	eV per formula unit

Cell lengths 8.810, 8.810, 8.810 Å; angles 58.46, 58.46, 58.46 degrees
Positions (direct):
Pm (0.235, 0.742, 0.742)
Pm (0.240, 0.240, 0.240)
Pm (0.258, 0.258, 0.765)
Pm (0.258, 0.765, 0.258)
Pm (0.742, 0.235, 0.742)
Pm (0.742, 0.742, 0.235)
Pm (0.760, 0.760, 0.760)
Pm (0.765, 0.258, 0.258)
Te (0.000, 0.000, 0.000)
Te (0.000, 0.500, 0.500)
Te (0.500, 0.000, 0.500)
Te (0.500, 0.500, 0.000)
As (0.000, 0.000, 0.500)
As (0.000, 0.500, 0.000)
As (0.500, 0.000, 0.000)
Se (0.500, 0.500, 0.500)

---

A geometry-optimized PH3S4 structure, computed with GGA-PBE.

Calculated values
ΔE to the lowest computed polymorph	0.0	meV/atom
energy	-33.26	eV for the cell shown

Cell lengths 5.350, 6.556, 6.601 Å; angles 114.92, 107.94, 100.86 degrees
Positions (direct):
P (0.000, 0.000, 0.000)
H (0.095, 0.399, 0.998)
H (0.296, 0.802, 0.785)
H (0.511, 0.020, 0.217)
S (0.074, 0.861, 0.683)
S (0.388, 0.180, 0.317)
S (0.706, 0.768, 0.001)
S (0.861, 0.278, 0.999)

---

A geometry-optimized MgTiF5 structure, computed with GGA-PBE.

Calculated values
ΔE to the lowest computed polymorph	0.0	meV/atom
energy	-84.86	eV for the cell shown
formation energy from raw total energies	-23.6	eV per formula unit

Cell lengths 5.339, 5.339, 7.479 Å; angles 110.65, 110.65, 72.61 degrees
Positions (direct):
Mg (0.026, 0.974, 0.750)
Mg (0.974, 0.026, 0.250)
Ti (0.500, 0.500, 0.000)
Ti (0.500, 0.500, 0.500)
F (0.174, 0.791, 0.049)
F (0.209, 0.826, 0.451)
F (0.223, 0.286, 0.367)
F (0.286, 0.223, 0.867)
F (0.363, 0.637, 0.750)
F (0.637, 0.363, 0.250)
F (0.714, 0.777, 0.133)
F (0.777, 0.714, 0.633)
F (0.791, 0.174, 0.549)
F (0.826, 0.209, 0.951)

---

A geometry-optimized La2InGa12 structure, computed with GGA-PBE.

Calculated values
energy	-106.63	eV for the cell shown
calculated formation energy	-293	meV per atom

Cell lengths 6.073, 6.073, 17.445 Å; angles 90.00, 90.00, 90.00 degrees
Positions (direct):
La (0.250, 0.750, 0.223)
La (0.250, 0.750, 0.777)
La (0.750, 0.250, 0.223)
La (0.750, 0.250, 0.777)
In (0.250, 0.750, 0.500)
In (0.750, 0.250, 0.500)
Ga (0.002, 0.502, 0.386)
Ga (0.002, 0.998, 0.614)
Ga (0.063, 0.563, 0.934)
Ga (0.063, 0.937, 0.066)
Ga (0.250, 0.250, 0.150)
Ga (0.250, 0.250, 0.296)
Ga (0.250, 0.250, 0.704)
Ga (0.250, 0.250, 0.850)
Ga (0.437, 0.563, 0.066)
Ga (0.437, 0.937, 0.934)
Ga (0.498, 0.502, 0.614)
Ga (0.498, 0.998, 0.386)
Ga (0.502, 0.002, 0.614)
Ga (0.502, 0.498, 0.386)
Ga (0.563, 0.063, 0.066)
Ga (0.563, 0.437, 0.934)
Ga (0.750, 0.750, 0.150)
Ga (0.750, 0.750, 0.296)
Ga (0.750, 0.750, 0.704)
Ga (0.750, 0.750, 0.850)
Ga (0.937, 0.063, 0.934)
Ga (0.937, 0.437, 0.066)
Ga (0.998, 0.002, 0.386)
Ga (0.998, 0.498, 0.614)

---

A geometry-optimized Li2NiPt2 structure, computed with GGA-PBE.

Calculated values
ΔE to the lowest computed polymorph	56.8	meV/atom
energy	-44.76	eV for the cell shown
calculated formation energy	-138	meV per atom

Cell lengths 6.833, 6.833, 2.895 Å; angles 90.00, 90.00, 90.00 degrees
Positions (direct):
Li (0.154, 0.346, 0.000)
Li (0.346, 0.846, 0.000)
Li (0.654, 0.154, 0.000)
Li (0.846, 0.654, 0.000)
Ni (0.000, 0.000, 0.500)
Ni (0.500, 0.500, 0.500)
Pt (0.146, 0.646, 0.500)
Pt (0.354, 0.146, 0.500)
Pt (0.646, 0.854, 0.500)
Pt (0.854, 0.354, 0.500)

---

A geometry-optimized PmHo4Sc structure, computed with GGA-PBE.

Calculated values
energy	-28.19	eV for the cell shown
calculated formation energy	201	meV per atom

Cell lengths 5.876, 5.876, 11.237 Å; angles 117.42, 117.42, 33.88 degrees
Positions (direct):
Pm (0.000, 0.000, 0.000)
Ho (0.156, 0.156, 0.350)
Ho (0.347, 0.347, 0.163)
Ho (0.653, 0.653, 0.837)
Ho (0.844, 0.844, 0.650)
Sc (0.500, 0.500, 0.500)

---

A geometry-optimized Ca2TlCrMo structure, computed with GGA-PBE.

Calculated values
energy	-23.14	eV for the cell shown
calculated formation energy	736	meV per atom

Cell lengths 5.754, 5.754, 4.250 Å; angles 90.00, 90.00, 90.00 degrees
Positions (direct):
Ca (0.000, 0.500, 0.000)
Ca (0.500, 0.000, 0.000)
Tl (0.000, 0.000, 0.500)
Cr (0.500, 0.500, 0.000)
Mo (0.500, 0.500, 0.500)